A plane-wave DFT calculation with PBE was carried out for a relaxed KTi2Br crystal.

The structure in extended XYZ format:
```
16
Lattice="4.6371 0.0000 0.0000 0.0000 4.6371 0.0000 0.0000 0.0000 20.5379" Properties=species:S:1:pos:R:3 pbc="T T T"
K 0.0000 1.1593 7.7017
K 0.0000 3.4778 12.8362
K 2.3186 1.1593 2.5672
K 2.3186 3.4778 17.9706
Ti 0.0000 0.0000 0.0000
Ti 0.0000 2.3186 0.0000
Ti 1.1593 1.1593 15.4034
Ti 1.1593 3.4778 5.1345
Ti 2.3186 0.0000 10.2689
Ti 2.3186 2.3186 10.2689
Ti 3.4778 1.1593 15.4034
Ti 3.4778 3.4778 5.1345
Br 0.0000 1.1593 17.9706
Br 0.0000 3.4778 2.5672
Br 2.3186 1.1593 12.8362
Br 2.3186 3.4778 7.7017
```

The space group is I4_1/amd. The uncorrected formation energy is 0.5279 eV/atom. For the relative energy among the computed polymorphs, the calculation gives 0 meV per atom. For the total energy, the calculation gives -4.11 eV per atom.

=====

A plane-wave DFT calculation with PBE was carried out for a relaxed KInPW2 crystal.

The structure in extended XYZ format:
```
5
Lattice="4.5805 0.0000 0.0000 0.0000 4.5805 0.0000 0.0000 0.0000 5.6054" Properties=species:S:1:pos:R:3 pbc="T T T"
K 0.0000 0.0000 0.0000
In 2.2902 2.2902 0.0000
P 2.2902 2.2902 2.8027
W 0.0000 2.2902 2.8027
W 2.2902 0.0000 2.8027
```

The space group is P4/mmm. For the total energy, the calculation gives -5.88 eV per atom.

=====

A plane-wave DFT calculation with PBE was carried out for a relaxed AlInIr2 crystal.

The structure in extended XYZ format:
```
12
Lattice="2.9533 0.0000 0.0000 -1.4767 2.5577 0.0000 0.0000 0.0000 26.1843" Properties=species:S:1:pos:R:3 pbc="T T T"
Al 0.0000 0.0000 0.0000
Al 0.0000 1.7051 17.4562
Al 1.4767 0.8526 8.7281
In 0.0000 0.0000 19.9331
In 0.0000 1.7051 11.2051
In 1.4767 0.8526 2.4770
Ir 0.0000 0.0000 6.8758
Ir 0.0000 0.0000 13.4042
Ir 0.0000 1.7051 4.6761
Ir 0.0000 1.7051 24.3320
Ir 1.4767 0.8526 15.6039
Ir 1.4767 0.8526 22.1323
```

The space group is R3m. For the total energy, the calculation gives -6.02 eV per atom.

=====

A plane-wave DFT calculation with PBE was carried out for a relaxed Tb2Sm2Dy7 crystal.

The structure in extended XYZ format:
```
11
Lattice="5.6251 -5.7372 0.0000 5.6251 5.7372 0.0000 -2.3933 0.0000 5.5525" Properties=species:S:1:pos:R:3 pbc="T T T"
Tb 5.6251 3.2473 0.0000
Tb 5.6251 -3.2473 0.0000
Sm 2.3954 0.0000 0.4933
Sm 6.4616 0.0000 5.0592
Dy -1.1966 0.0000 2.7763
Dy 2.8843 3.0330 1.8090
Dy 5.9726 3.0330 3.7436
Dy 2.9666 0.0000 3.8707
Dy 5.8904 0.0000 1.6819
Dy 2.8843 -3.0330 1.8090
Dy 5.9726 -3.0330 3.7436
```

The space group is C2/m. For the relative energy among the computed polymorphs, the calculation gives 75 meV per atom. For the total energy, the calculation gives -4.47 eV per atom.

=====

A plane-wave DFT calculation with PBE was carried out for a relaxed Ba2SiPb crystal.

The structure in extended XYZ format:
```
8
Lattice="7.5198 0.0000 0.0000 0.0000 9.6831 0.0000 0.0000 0.0000 3.8711" Properties=species:S:1:pos:R:3 pbc="T T T"
Ba 1.8799 2.4208 0.0000
Ba 1.8799 7.2623 0.0000
Ba 5.6398 2.4208 0.0000
Ba 5.6398 7.2623 0.0000
Si 0.0000 0.0000 1.9356
Si 3.7599 4.8415 1.9356
Pb 0.0000 4.8415 1.9356
Pb 3.7599 0.0000 1.9356
```

The space group is Cmmm. The uncorrected formation energy is -0.2338 eV/atom. For the relative energy among the computed polymorphs, the calculation gives 201 meV per atom. For the total energy, the calculation gives -3.48 eV per atom.

=====

A plane-wave DFT calculation with PBE was carried out for a relaxed LiEr2NpS6 crystal.

The structure in extended XYZ format:
```
10
Lattice="3.3755 1.9489 6.0726 -3.3755 1.9489 6.0726 0.0000 -3.8977 6.0726" Properties=species:S:1:pos:R:3 pbc="T T T"
Li 0.0000 0.0000 0.0000
Er 0.0000 0.0000 3.6489
Er 0.0000 0.0000 12.9142
Np 0.0000 0.0000 9.3286
S -2.2171 0.2083 7.9572
S -1.0084 -1.7437 10.9976
S 0.9282 -2.0242 7.9572
S -1.0059 1.7452 10.9976
S 1.2889 1.8159 7.9572
S 2.0143 -0.0014 10.9976
```

The space group is R3. The uncorrected formation energy is -1.5705 eV/atom. For the total energy, the calculation gives -6.44 eV per atom.

=====

A plane-wave DFT calculation with PBE was carried out for a relaxed Mg5H4Ir crystal.

The structure in extended XYZ format:
```
10
Lattice="4.8698 0.0000 0.0000 -1.7824 5.0367 0.0000 -0.0105 -0.0164 5.5222" Properties=species:S:1:pos:R:3 pbc="T T T"
Mg 0.0000 0.0000 0.0000
Mg -0.0007 0.0082 2.6842
Mg 0.5265 3.6143 4.0917
Mg 1.5415 2.5223 1.3324
Mg 2.5511 1.4197 4.0987
H -0.3228 1.3359 4.1122
H -0.4091 3.7251 1.3388
H 3.5002 1.3169 1.3580
H 3.4025 3.6888 4.0959
Ir 2.4352 0.0038 1.3468
```

The space group is P1. For the relative energy among the computed polymorphs, the calculation gives 13 meV per atom. For the total energy, the calculation gives -3.22 eV per atom.

=====

A plane-wave DFT calculation with PBE was carried out for a relaxed BaZnCu3 crystal.

The structure in extended XYZ format:
```
5
Lattice="4.7856 0.0000 0.0000 0.0000 4.7856 0.0000 0.0000 0.0000 4.7856" Properties=species:S:1:pos:R:3 pbc="T T T"
Ba 0.0000 0.0000 0.0000
Zn 2.3928 2.3928 2.3928
Cu 0.0000 2.3928 2.3928
Cu 2.3928 0.0000 2.3928
Cu 2.3928 2.3928 0.0000
```

The space group is Pm-3m. For the relative energy among the computed polymorphs, the calculation gives 214 meV per atom. For the total energy, the calculation gives -2.95 eV per atom.

=====

A plane-wave DFT calculation with PBE was carried out for a relaxed Pr2Nd2Dy5 crystal.

The structure in extended XYZ format:
```
9
Lattice="8.8806 -1.7575 0.0000 8.8806 1.7575 0.0000 -1.4954 0.0000 9.7720" Properties=species:S:1:pos:R:3 pbc="T T T"
Pr 2.5846 0.0000 2.1846
Pr 13.6812 0.0000 7.5874
Nd 8.3174 0.0000 3.0484
Nd 7.9484 0.0000 6.7236
Dy 0.0000 0.0000 0.0000
Dy 1.8022 0.0000 8.4664
Dy 5.1467 0.0000 4.4935
Dy 11.1190 0.0000 5.2785
Dy 14.4636 0.0000 1.3056
```

The space group is C2/m. For the relative energy among the computed polymorphs, the calculation gives 0 meV per atom. For the total energy, the calculation gives -4.54 eV per atom.

=====

A plane-wave DFT calculation with PBE was carried out for a relaxed Zn5Cu crystal.

The structure in extended XYZ format:
```
12
Lattice="3.9676 0.0000 0.0000 0.0000 10.9083 0.0000 0.0000 0.0000 3.9641" Properties=species:S:1:pos:R:3 pbc="T T T"
Zn 0.0000 0.0000 0.0000
Zn 0.0000 1.7865 1.9820
Zn 0.0000 3.6723 0.0000
Zn 0.0000 7.2360 0.0000
Zn 0.0000 9.1217 1.9820
Zn 1.9838 1.7818 0.0000
Zn 1.9838 3.6676 1.9820
Zn 1.9838 5.4541 0.0000
Zn 1.9838 7.2407 1.9820
Zn 1.9838 9.1264 0.0000
Cu 0.0000 5.4541 1.9820
Cu 1.9838 0.0000 1.9820
```

The space group is Cmmm. For the total energy, the calculation gives -1.75 eV per atom.

=====

A plane-wave DFT calculation with PBE was carried out for a relaxed Rb3Tb2PuO6 crystal.

The structure in extended XYZ format:
```
12
Lattice="3.0863 -5.3456 0.0000 3.0863 5.3456 0.0000 -2.0576 0.0000 6.5671" Properties=species:S:1:pos:R:3 pbc="T T T"
Rb 0.0000 0.0000 0.0000
Rb 3.0863 1.7895 0.0000
Rb 3.0863 -1.7895 0.0000
Tb 2.0575 3.5641 3.2835
Tb 2.0575 -3.5641 3.2835
Pu 2.0575 0.0000 3.2835
O 1.0160 1.8038 2.1245
O -0.0253 0.0000 4.4426
O 1.0160 -1.8038 2.1245
O 3.0991 1.8038 4.4425
O 4.1403 0.0000 2.1245
O 3.0991 -1.8038 4.4425
```

The space group is C2/m. The uncorrected formation energy is -2.5409 eV/atom. For the total energy, the calculation gives -7.23 eV per atom.

=====

A plane-wave DFT calculation with PBE was carried out for a relaxed FeCoBr2 crystal.

The structure in extended XYZ format:
```
8
Lattice="3.3000 0.0000 0.0000 0.0000 6.3919 0.0000 0.0000 0.0000 7.7828" Properties=species:S:1:pos:R:3 pbc="T T T"
Fe 0.0000 0.0000 0.0000
Fe 1.6500 3.1959 0.0000
Co 0.0000 0.0000 3.8914
Co 1.6500 3.1959 3.8914
Br 0.0000 3.1959 1.9824
Br 0.0000 3.1959 5.8004
Br 1.6500 0.0000 1.9824
Br 1.6500 0.0000 5.8004
```

The space group is Cmmm. The uncorrected formation energy is 0.5890 eV/atom. For the relative energy among the computed polymorphs, the calculation gives 607 meV per atom. For the total energy, the calculation gives -4.14 eV per atom.

=====

no.,volume (Å³/f.u.)
1,110.4
2,117.6
3,65.9
4,358.4
5,140.9
6,239.7
7,135.4
8,109.6
9,305.0
10,85.8
11,216.7
12,82.1